VCdF, optimized geometry, DFT GGA+U; raw total energy = -25.17 eV/cell; V = 19.86 A^3/atom
1.0
3.9066 1.3058 -1.1358
2.8168 4.2845 -1.4608
-2.4665 -3.1886 10.2941
F Cd V
2 2 2
direct
0.9825 0.0546 0.8624 F
0.9121 0.3860 0.6937 F
0.2079 0.3574 0.1657 Cd
0.2764 0.0398 0.3479 Cd
0.3392 0.7086 0.5164 V
0.4196 0.4060 0.7136 V